VASP calculation (PBE) on crystalline TcTeN2 at its relaxed geometry.

Summary:
E above lowest polymorph = 870 meV per atom
Total moment = 0.00 μB/f.u.
DOS(E_F) = 10.48 states/eV per cell

The structure in CIF format:
```
data_TcTeN2
_symmetry_space_group_name_H-M 'F m -3 m'
_symmetry_Int_Tables_number 225
_symmetry_space_group_name_Hall '-F 4 2 3'
_cell_length_a 5.7144
_cell_length_b 5.7144
_cell_length_c 5.7144
_cell_angle_alpha 90.00
_cell_angle_beta 90.00
_cell_angle_gamma 90.00
loop_
_atom_site_label
_atom_site_fract_x
_atom_site_fract_y
_atom_site_fract_z
Tc1 0.0000 0.0000 0.0000
Te1 0.0000 0.0000 0.5000
N1 0.2500 0.2500 0.2500
```

VASP calculation (PBE) on crystalline Cs4Na2Cl at its relaxed geometry.

Summary:
DFT total energy = -22.9 eV for the cell shown
Total moment = 0.00 μB/f.u.
DOS(E_F) = 9.20 states/eV per cell

The structure in CIF format:
```
data_Cs4Na2Cl
_symmetry_space_group_name_H-M 'I 4/m m m'
_symmetry_Int_Tables_number 139
_symmetry_space_group_name_Hall '-I 4 2'
_cell_length_a 6.8151
_cell_length_b 6.8151
_cell_length_c 22.4176
_cell_angle_alpha 90.00
_cell_angle_beta 90.00
_cell_angle_gamma 90.00
loop_
_atom_site_label
_atom_site_fract_x
_atom_site_fract_y
_atom_site_fract_z
Cs1 0.0000 0.0000 0.1673
Cs2 0.0000 0.5000 0.0000
Na1 0.0000 0.0000 0.3637
Cl1 0.0000 0.0000 0.0000
```

VASP calculation (PBE) on crystalline RbMgNpBr6 at its relaxed geometry.

Summary:
DFT total energy = -77.7 eV for the cell shown
Total moment = 4.00 μB/f.u.
DOS(E_F) = 17.45 states/eV per cell

The structure in CIF format:
```
data_RbMgNpBr6
_symmetry_space_group_name_H-M 'P -3 1 c'
_symmetry_Int_Tables_number 163
_symmetry_space_group_name_Hall '-P 3 2c'
_cell_length_a 7.3327
_cell_length_b 7.3327
_cell_length_c 15.1679
_cell_angle_alpha 90.00
_cell_angle_beta 90.00
_cell_angle_gamma 120.00
loop_
_atom_site_label
_atom_site_fract_x
_atom_site_fract_y
_atom_site_fract_z
Rb1 0.0000 0.0000 0.0000
Mg1 0.3333 0.6667 0.2500
Np1 0.3333 0.6667 0.7500
Br1 0.0195 0.3829 0.1451
```

VASP calculation (PBE) on crystalline NdMgSi2 at its relaxed geometry.

Summary:
E above lowest polymorph = 242 meV per atom
Total moment = 0.00 μB/f.u.
DOS(E_F) = 1.89 states/eV per cell

The structure in CIF format:
```
data_NdMgSi2
_symmetry_space_group_name_H-M 'P 4/m m m'
_symmetry_Int_Tables_number 123
_symmetry_space_group_name_Hall '-P 4 2'
_cell_length_a 4.4602
_cell_length_b 4.4602
_cell_length_c 4.1383
_cell_angle_alpha 90.00
_cell_angle_beta 90.00
_cell_angle_gamma 90.00
loop_
_atom_site_label
_atom_site_fract_x
_atom_site_fract_y
_atom_site_fract_z
Nd1 0.0000 0.0000 0.0000
Mg1 0.5000 0.5000 0.0000
Si1 0.0000 0.5000 0.5000
```

VASP calculation (PBE) on crystalline AgPXe2F10 at its relaxed geometry.

Summary:
DFT total energy = -192.0 eV for the cell shown
Total moment = 0.00 μB/f.u.

The structure in CIF format:
```
data_AgPXe2F10
_symmetry_space_group_name_H-M 'I 4/m c m'
_symmetry_Int_Tables_number 140
_symmetry_space_group_name_Hall '-I 4 2c'
_cell_length_a 8.7414
_cell_length_b 8.7414
_cell_length_c 12.5603
_cell_angle_alpha 90.00
_cell_angle_beta 90.00
_cell_angle_gamma 90.00
loop_
_atom_site_label
_atom_site_fract_x
_atom_site_fract_y
_atom_site_fract_z
Ag1 0.0000 0.5000 0.0000
P1 0.0000 0.0000 0.0000
Xe1 0.2500 0.2500 0.2500
F1 0.0000 0.0000 0.1305
F2 0.0770 0.1715 0.0000
F3 0.1153 0.3847 0.3543
```

VASP calculation (PBE) on crystalline AlCl at its relaxed geometry.

Summary:
DFT total energy = -38.0 eV for the cell shown
Total moment = 0.00 μB/f.u.
DOS(E_F) = 1.47 states/eV per cell

The structure in CIF format:
```
data_AlCl
_symmetry_space_group_name_H-M 'P -3 m 1'
_symmetry_Int_Tables_number 164
_symmetry_space_group_name_Hall '-P 3 2"'
_cell_length_a 5.2131
_cell_length_b 5.2131
_cell_length_c 12.2024
_cell_angle_alpha 90.00
_cell_angle_beta 90.00
_cell_angle_gamma 120.00
loop_
_atom_site_label
_atom_site_fract_x
_atom_site_fract_y
_atom_site_fract_z
Al1 0.0000 0.0000 0.1274
Al2 0.3333 0.6667 0.1468
Al3 0.3333 0.6667 0.3725
Cl1 0.0000 0.0000 0.3188
Cl2 0.3333 0.6667 0.5586
Cl3 0.3333 0.6667 0.8553
```

VASP calculation (PBE) on crystalline YHoSb at its relaxed geometry.

Summary:
DFT total energy = -34.2 eV for the cell shown
Total moment = 1.01 μB/f.u.
DOS(E_F) = 4.25 states/eV per cell

The structure in CIF format:
```
data_YHoSb
_symmetry_space_group_name_H-M 'I 4 m m'
_symmetry_Int_Tables_number 107
_symmetry_space_group_name_Hall 'I 4 -2'
_cell_length_a 3.9650
_cell_length_b 3.9650
_cell_length_c 10.6622
_cell_angle_alpha 90.00
_cell_angle_beta 90.00
_cell_angle_gamma 90.00
loop_
_atom_site_label
_atom_site_fract_x
_atom_site_fract_y
_atom_site_fract_z
Y1 0.0000 0.0000 0.0000
Ho1 0.0000 0.0000 0.6917
Sb1 0.0000 0.0000 0.3448
```

VASP calculation (PBE) on crystalline NaNpBeO4 at its relaxed geometry.

Summary:
DFT total energy = -217.9 eV for the cell shown
Total moment = 2.00 μB/f.u.
DOS(E_F) = 17.63 states/eV per cell

The structure in CIF format:
```
data_NaNpBeO4
_symmetry_space_group_name_H-M 'C m c m'
_symmetry_Int_Tables_number 63
_symmetry_space_group_name_Hall '-C 2c 2'
_cell_length_a 5.7298
_cell_length_b 8.8907
_cell_length_c 6.7088
_cell_angle_alpha 90.00
_cell_angle_beta 90.00
_cell_angle_gamma 90.00
loop_
_atom_site_label
_atom_site_fract_x
_atom_site_fract_y
_atom_site_fract_z
Na1 0.0000 0.0000 0.0000
Np1 0.0000 0.3109 0.2500
Be1 0.0000 0.3870 0.7500
O1 0.0000 0.2818 0.5454
O2 0.2222 0.4998 0.2500
```

VASP calculation (PBE) on crystalline InIrRh2 at its relaxed geometry.

Summary:
Energy relative to the elements = -80 meV/atom
Total moment = 0.00 μB/f.u.
DOS(E_F) = 6.66 states/eV per cell

The structure in CIF format:
```
data_InIrRh2
_symmetry_space_group_name_H-M 'C 1 m 1'
_symmetry_Int_Tables_number 8
_symmetry_space_group_name_Hall 'C -2y'
_cell_length_a 9.2176
_cell_length_b 2.8517
_cell_length_c 4.8462
_cell_angle_alpha 90.00
_cell_angle_beta 100.86
_cell_angle_gamma 90.00
loop_
_atom_site_label
_atom_site_fract_x
_atom_site_fract_y
_atom_site_fract_z
In1 0.0000 0.0000 0.0000
Ir1 0.2476 0.0000 0.7117
Rh1 0.0026 0.5000 0.5025
Rh2 0.2513 0.5000 0.2436
```

VASP calculation (PBE) on crystalline Mg4H3Ir3 at its relaxed geometry.

Summary:
E above lowest polymorph = 48 meV per atom
Total moment = 0.00 μB/f.u.
DOS(E_F) = 3.61 states/eV per cell

The structure in CIF format:
```
data_Mg4H3Ir3
_symmetry_space_group_name_H-M 'P 1 2 1'
_symmetry_Int_Tables_number 3
_symmetry_space_group_name_Hall 'P 2y'
_cell_length_a 5.4721
_cell_length_b 4.5995
_cell_length_c 5.5226
_cell_angle_alpha 90.00
_cell_angle_beta 111.43
_cell_angle_gamma 90.00
loop_
_atom_site_label
_atom_site_fract_x
_atom_site_fract_y
_atom_site_fract_z
Mg1 0.0000 0.0000 0.0000
Mg2 0.2230 0.4953 0.7463
Mg3 0.5000 0.9955 0.5000
H1 0.0000 0.5165 0.0000
H2 0.2157 0.9952 0.7407
Ir1 0.2982 0.4958 0.2729
Ir2 0.5000 0.9955 0.0000
```

VASP calculation (PBE) on crystalline NaRu at its relaxed geometry.

Summary:
Energy relative to the elements = 786 meV/atom
Total moment = 0.00 μB/f.u.
DOS(E_F) = 12.18 states/eV per cell

The structure in CIF format:
```
data_NaRu
_symmetry_space_group_name_H-M 'C m m m'
_symmetry_Int_Tables_number 65
_symmetry_space_group_name_Hall '-C 2 2'
_cell_length_a 4.9101
_cell_length_b 9.5413
_cell_length_c 4.3015
_cell_angle_alpha 90.00
_cell_angle_beta 90.00
_cell_angle_gamma 90.00
loop_
_atom_site_label
_atom_site_fract_x
_atom_site_fract_y
_atom_site_fract_z
Na1 0.0000 0.0000 0.0000
Na2 0.0000 0.1685 0.5000
Ru1 0.0000 0.3480 0.0000
Ru2 0.0000 0.5000 0.5000
```

VASP calculation (PBE) on crystalline KRbOsCl6 at its relaxed geometry.

Summary:
DFT total energy = -34.3 eV for the cell shown
Total moment = 2.00 μB/f.u.
DOS(E_F) = 7.76 states/eV per cell

The structure in CIF format:
```
data_KRbOsCl6
_symmetry_space_group_name_H-M 'P 3 1 2'
_symmetry_Int_Tables_number 149
_symmetry_space_group_name_Hall 'P 3 2'
_cell_length_a 7.4361
_cell_length_b 7.4361
_cell_length_c 6.5555
_cell_angle_alpha 90.00
_cell_angle_beta 90.00
_cell_angle_gamma 120.00
loop_
_atom_site_label
_atom_site_fract_x
_atom_site_fract_y
_atom_site_fract_z
K1 0.0000 0.0000 0.0000
Rb1 0.3333 0.6667 0.5000
Os1 0.6667 0.3333 0.0000
Cl1 0.4087 0.0758 0.7907
```